Entry 1:
Density functional theory data (meta-GGA SCAN) for a PBEsol-optimized structure of ZnInHg2.

Structure (extended XYZ):
```
4
Lattice="3.859 0.000 0.000 0.000 4.264 0.000 -1.810 0.000 5.326" Properties=species:S:1:pos:R:3 pbc="T T T"
Zn 0.000 0.000 0.000
In 0.016 2.132 4.572
Hg -0.250 2.132 1.671
Hg 1.704 0.000 2.633
```

Calculated values
Fermi-level density of states ... 1.4 states/eV per cell

Entry 2:
Density functional theory data (meta-GGA SCAN) for a PBEsol-optimized structure of ZnInHg2.

Structure (extended XYZ):
```
4
Lattice="-2.282 2.282 4.160 2.282 -2.282 4.160 2.282 2.282 -4.160" Properties=species:S:1:pos:R:3 pbc="T T T"
Zn 0.000 0.000 0.000
In 0.000 0.000 4.160
Hg 2.282 0.000 2.080
Hg 0.000 2.282 2.080
```

Calculated values
Fermi-level density of states ... 1.1 states/eV per cell

Entry 3:
Density functional theory data (meta-GGA SCAN) for a PBEsol-optimized structure of ZnIn2Hg.

Structure (extended XYZ):
```
4
Lattice="1.716 0.991 8.684 -1.716 0.991 8.684 0.000 -1.981 8.684" Properties=species:S:1:pos:R:3 pbc="T T T"
Zn 0.000 0.000 0.000
In 0.000 0.000 6.650
In 0.000 0.000 12.881
Hg 0.000 0.000 19.256
```

Calculated values
Fermi-level density of states ... 1.4 states/eV per cell
Relative energy among the computed polymorphs ... 0.006 eV per atom

Entry 4:
Density functional theory data (meta-GGA SCAN) for a PBEsol-optimized structure of ZrInHg2.

Structure (extended XYZ):
```
4
Lattice="3.053 -4.189 0.000 3.053 4.189 0.000 0.000 0.000 3.382" Properties=species:S:1:pos:R:3 pbc="T T T"
Zr 0.000 0.000 0.000
In 3.053 0.000 0.000
Hg 1.526 2.095 1.691
Hg 1.526 -2.095 1.691
```

Calculated values
Fermi-level density of states ... 2.6 states/eV per cell

Entry 5:
Density functional theory data (meta-GGA SCAN) for a PBEsol-optimized structure of ZrInHg2.

Structure (extended XYZ):
```
4
Lattice="3.219 0.000 0.000 0.000 4.236 0.000 0.000 0.000 6.305" Properties=species:S:1:pos:R:3 pbc="T T T"
Zr 0.000 0.000 0.000
In 1.610 2.118 4.750
Hg 0.000 0.000 3.142
Hg 1.610 2.118 1.532
```

Calculated values
Fermi-level density of states ... 2.5 states/eV per cell

Entry 6:
Density functional theory data (meta-GGA SCAN) for a PBEsol-optimized structure of Zr2InHg.

Structure (extended XYZ):
```
4
Lattice="-2.104 2.104 4.775 2.104 -2.104 4.775 2.104 2.104 -4.775" Properties=species:S:1:pos:R:3 pbc="T T T"
Zr 0.000 0.000 0.000
Zr 0.000 2.104 2.387
In 2.104 0.000 2.387
Hg 0.000 0.000 4.775
```

Calculated values
Fermi-level density of states ... 4.2 states/eV per cell

Entry 7:
Density functional theory data (meta-GGA SCAN) for a PBEsol-optimized structure of Zr2InHg.

Structure (extended XYZ):
```
4
Lattice="3.156 0.000 0.000 0.000 4.281 0.000 0.000 0.000 6.145" Properties=species:S:1:pos:R:3 pbc="T T T"
Zr 0.000 0.000 1.527
Zr 0.000 0.000 4.618
In 1.578 2.140 3.072
Hg 1.578 2.140 0.000
```

Calculated values
Fermi-level density of states ... 2.7 states/eV per cell

Entry 8:
Density functional theory data (meta-GGA SCAN) for a PBEsol-optimized structure of Zr2InHg.

Structure (extended XYZ):
```
4
Lattice="3.087 -4.285 0.000 3.087 4.285 0.000 0.000 0.000 3.139" Properties=species:S:1:pos:R:3 pbc="T T T"
Zr 1.544 2.142 0.000
Zr 1.544 -2.142 0.000
In 0.000 0.000 1.569
Hg 3.087 0.000 1.569
```

Calculated values
Fermi-level density of states ... 3.0 states/eV per cell

Entry 9:
Density functional theory data (meta-GGA SCAN) for a PBEsol-optimized structure of Zr2InHg.

Structure (extended XYZ):
```
4
Lattice="-1.645 2.554 5.061 1.645 -2.554 5.061 1.645 2.554 -5.061" Properties=species:S:1:pos:R:3 pbc="T T T"
Zr 0.000 0.000 0.000
Zr 0.000 2.554 2.489
In 1.645 0.000 2.670
Hg 0.000 0.000 5.055
```

Calculated values
Fermi-level density of states ... 2.2 states/eV per cell

Entry 10:
Density functional theory data (meta-GGA SCAN) for a PBEsol-optimized structure of ZrInHg2.

Structure (extended XYZ):
```
4
Lattice="4.338 0.000 0.000 0.000 4.338 0.000 0.000 0.000 4.408" Properties=species:S:1:pos:R:3 pbc="T T T"
Zr 0.000 0.000 0.000
In 2.169 2.169 0.000
Hg 0.000 2.169 2.204
Hg 2.169 0.000 2.204
```

Calculated values
Fermi-level density of states ... 1.5 states/eV per cell

Entry 11:
Density functional theory data (meta-GGA SCAN) for a PBEsol-optimized structure of Zr2InHg.

Structure (extended XYZ):
```
4
Lattice="3.156 0.000 0.000 0.000 5.085 0.000 -0.067 0.000 5.210" Properties=species:S:1:pos:R:3 pbc="T T T"
Zr 0.000 0.000 0.000
Zr 0.059 2.543 3.228
In 1.585 0.000 2.620
Hg 1.641 2.543 0.632
```

Calculated values
Fermi-level density of states ... 2.3 states/eV per cell

Entry 12:
Density functional theory data (meta-GGA SCAN) for a PBEsol-optimized structure of Zr2InHg.

Structure (extended XYZ):
```
4
Lattice="3.110 0.000 0.000 0.000 3.110 0.000 0.000 0.000 8.586" Properties=species:S:1:pos:R:3 pbc="T T T"
Zr 0.000 0.000 2.129
Zr 0.000 0.000 6.458
In 1.555 1.555 4.293
Hg 1.555 1.555 0.000
```

Calculated values
Fermi-level density of states ... 2.6 states/eV per cell

Number 1: density 11.0 g/cm³, DFT formation energy 0.39 eV/f.u.. Number 2: density 11.1 g/cm³, DFT formation energy 0.54 eV/f.u.. Number 3: density 9.3 g/cm³, DFT formation energy 0.30 eV/f.u.. Number 4: density 11.7 g/cm³, DFT formation energy -0.68 eV/f.u.. Number 5: density 11.7 g/cm³, DFT formation energy -0.39 eV/f.u.. Number 6: density 9.8 g/cm³, DFT formation energy -1.28 eV/f.u.. Number 7: density 10.0 g/cm³, DFT formation energy -1.70 eV/f.u.. Number 8: density 10.0 g/cm³, DFT formation energy -1.69 eV/f.u.. Number 9: density 9.7 g/cm³, DFT formation energy -1.32 eV/f.u.. Number 10: density 12.2 g/cm³, DFT formation energy -1.18 eV/f.u.. Number 11: density 9.9 g/cm³, DFT formation energy -1.40 eV/f.u.. Number 12: density 10.0 g/cm³, DFT formation energy -1.72 eV/f.u..